The following is a PBE calculation of an optimized crystal structure of Y2ScHg, from Alexandria via LeMat-Bulk.

Lattice parameters (Å, degrees): 6.3402 6.3402 5.1284 66.15 66.15 35.30
Positions (direct):
Y 0.4730 0.4730 0.5270
Y 0.0270 0.0270 0.9730
Sc 0.2500 0.2500 0.2500
Hg 0.7500 0.7500 0.7500

Calculated values
SG: Immm
calculated volume: 26.967 Å³/atom
M_tot: 0.0 μB per formula unit
E_form: -0.177 eV per atom
uncorrected energy: -5.067 eV/atom